# 1
DFT (PBE) results for MgFe2Ru after structural relaxation.

Properties
- V (Å³ per atom) = 13.943
- ρ (Mg/m³) = 7.1
- energy relative to the elements (meV/atom) = 140
- space-group type = P4mm, No. 99

a = 3.024 Å, b = 3.023 Å, c = 6.102 Å
α = 90.00°, β = 90.00°, γ = 90.00°
Atoms (fractional coordinates):
Fe: 0.000 0.000 0.005
Fe: 0.500 0.500 0.212
Mg: 0.000 0.000 0.496
Ru: 0.500 0.500 0.787

=====

# 2
DFT (PBE) results for Sm6Sb2TeAs3 after structural relaxation.

Properties
- V (Å³ per atom) = 28.879
- E_form (uncorrected) (eV/f.u.) = -16.999
- ρ (Mg/m³) = 7.2
- space-group type = C2/m, No. 12

a = 4.320 Å, b = 8.721 Å, c = 9.719 Å
α = 103.53°, β = 102.84°, γ = 90.00°
Atoms (fractional coordinates):
Sm: 0.328 0.925 0.655
Sm: 0.663 0.592 0.327
Sm: 0.672 0.075 0.345
Sm: 0.996 0.266 0.992
Sm: 0.004 0.734 0.008
Sm: 0.337 0.408 0.673
Sb: 0.834 0.668 0.668
Sb: 0.166 0.332 0.332
Te: 0.500 0.000 0.000
As: 0.500 0.500 0.000
As: 0.834 0.167 0.668
As: 0.166 0.833 0.332

=====

# 3
DFT (PBE) results for TaAlRu2 after structural relaxation.

Properties
- V (Å³ per atom) = 15.270
- ρ (Mg/m³) = 11.1
- energy relative to the elements (meV/atom) = -303
- space-group type = C2/m, No. 12

a = 4.537 Å, b = 4.537 Å, c = 4.929 Å
α = 75.79°, β = 75.79°, γ = 38.57°
Atoms (fractional coordinates):
Ru: 0.000 0.000 0.007
Ru: 0.500 0.500 0.493
Al: 0.250 0.250 0.250
Ta: 0.750 0.750 0.750

=====

# 4
DFT (PBE) results for Nd7Dy3Tm2 after structural relaxation.

Properties
- V (Å³ per atom) = 33.585
- ρ (Mg/m³) = 7.6
- energy relative to the elements (meV/atom) = 74
- space-group type = P2/m, No. 10

a = 3.565 Å, b = 6.461 Å, c = 18.100 Å
α = 75.13°, β = 90.00°, γ = 90.00°
Atoms (fractional coordinates):
Nd: 0.500 0.236 0.507
Nd: 0.500 0.764 0.493
Nd: 0.000 0.556 0.168
Nd: 0.000 0.000 0.000
Nd: 0.000 0.444 0.832
Nd: 0.500 0.948 0.828
Nd: 0.500 0.052 0.172
Dy: 0.500 0.500 0.000
Dy: 0.000 0.116 0.340
Dy: 0.000 0.884 0.660
Tm: 0.500 0.610 0.330
Tm: 0.500 0.390 0.670